First-principles (PBE) data for crystalline Zr2V2SnRu5 at its relaxed geometry, as listed in Alexandria via LeMat-Bulk.

abc: 3.4636 9.7921 9.7921
angles: 90.00 90.00 90.00
Sites, in units of the cell vectors:
Zr  0.0000  0.6765  0.1765
Zr  0.0000  0.3235  0.8235
Zr  0.0000  0.1765  0.3235
Zr  0.0000  0.8235  0.6765
V  0.0000  0.1218  0.6218
V  0.0000  0.8782  0.3782
V  0.0000  0.6218  0.8782
V  0.0000  0.3782  0.1218
Sn  0.0000  0.0000  0.0000
Sn  0.0000  0.5000  0.5000
Ru  0.5000  0.2126  0.0659
Ru  0.5000  0.7874  0.9341
Ru  0.5000  0.0659  0.7874
Ru  0.5000  0.7126  0.4341
Ru  0.5000  0.9341  0.2126
Ru  0.5000  0.2874  0.5659
Ru  0.5000  0.5659  0.7126
Ru  0.5000  0.4341  0.2874
Ru  0.5000  0.5000  0.0000
Ru  0.5000  0.0000  0.5000

## Properties
Its total DFT energy (no corrections) is -176.0 eV/cell. The space group is P4/mbm (127).

=====

First-principles (PBE) data for crystalline AlRuPb2 at its relaxed geometry, as listed in Alexandria via LeMat-Bulk.

abc: 5.3413 5.3413 5.3413
angles: 136.28 123.07 74.43
Sites, in units of the cell vectors:
Pb  0.9906  0.9906  0.0000
Pb  0.5094  0.5094  0.0000
Ru  0.7500  0.2500  0.5000
Al  0.2500  0.7500  0.5000

## Properties
Its total DFT energy (no corrections) is -18.5 eV/cell. The space group is Immm (71).

=====

First-principles (PBE) data for crystalline ScCuPtRh at its relaxed geometry, as listed in Alexandria via LeMat-Bulk.

abc: 4.4293 4.4293 4.4293
angles: 60.00 60.00 60.00
Sites, in units of the cell vectors:
Sc  0.0000  0.0000  0.0000
Rh  0.2500  0.2500  0.2500
Cu  0.5000  0.5000  0.5000
Pt  0.7500  0.7500  0.7500

## Properties
Its total DFT energy (no corrections) is -26.5 eV/cell. The space group is F-43m (216).

=====

First-principles (PBE) data for crystalline HfZrMoOs at its relaxed geometry, as listed in Alexandria via LeMat-Bulk.

abc: 4.6605 4.6605 4.6605
angles: 60.00 60.00 60.00
Sites, in units of the cell vectors:
Hf  0.5000  0.5000  0.5000
Mo  0.2500  0.2500  0.2500
Os  0.7500  0.7500  0.7500
Zr  0.0000  0.0000  0.0000

## Properties
Its total DFT energy (no corrections) is -41.8 eV/cell. The space group is F-43m (216).

=====

First-principles (PBE) data for crystalline TlH3Rh at its relaxed geometry, as listed in Alexandria via LeMat-Bulk.

abc: 3.7242 3.7242 3.7242
angles: 90.00 90.00 90.00
Sites, in units of the cell vectors:
H  0.0000  0.5000  0.0000
H  0.0000  0.0000  0.5000
H  0.5000  0.0000  0.0000
Tl  0.5000  0.5000  0.5000
Rh  0.0000  0.0000  0.0000

## Properties
Its total DFT energy (no corrections) is -19.0 eV/cell. The space group is Pm-3m (221).

=====

First-principles (PBE) data for crystalline KLaMg2Ru at its relaxed geometry, as listed in Alexandria via LeMat-Bulk.

abc: 5.4393 5.4393 5.1515
angles: 90.00 90.00 90.00
Sites, in units of the cell vectors:
Ru  0.0000  0.0000  0.0000
K  0.5000  0.5000  0.5000
Mg  0.0000  0.5000  0.0000
Mg  0.5000  0.0000  0.0000
La  0.0000  0.0000  0.5000

## Properties
Its total DFT energy (no corrections) is -18.5 eV/cell. The space group is P4/mmm (123).